(1)
Computed, not measured: crystalline K2CdIrO6 at its relaxed geometry at the GGA-PBE level of DFT.

```
data_K2CdIrO6
_chemical_formula_sum 'K2 Cd1 Ir1 O6'
_symmetry_space_group_name_H-M 'P 1'
_symmetry_Int_Tables_number 1
_symmetry_space_group_name_Hall 'P 1'
_cell_length_a 5.817
_cell_length_b 5.817
_cell_length_c 5.817
_cell_angle_alpha 60.00
_cell_angle_beta 60.00
_cell_angle_gamma 60.00
loop_
_atom_site_label
_atom_site_fract_x
_atom_site_fract_y
_atom_site_fract_z
_atom_site_occupancy
Ir1 0.000 0.000 0.000 1
O1 0.228 0.772 0.772 1
O2 0.772 0.228 0.228 1
O3 0.228 0.772 0.228 1
O4 0.772 0.772 0.228 1
O5 0.228 0.228 0.772 1
O6 0.772 0.228 0.772 1
Cd1 0.500 0.500 0.500 1
K1 0.750 0.750 0.750 1
K2 0.250 0.250 0.250 1
```

Summary:
The space-group type is No. 225. The calculation puts the calculated total energy at -0.3752 Ry/atom.



(2)
Computed, not measured: crystalline La2MgCd3Ir2 at its relaxed geometry at the GGA-PBE level of DFT.

```
data_La2MgCd3Ir2
_chemical_formula_sum 'La2 Mg1 Cd3 Ir2'
_symmetry_space_group_name_H-M 'P 1'
_symmetry_Int_Tables_number 1
_symmetry_space_group_name_Hall 'P 1'
_cell_length_a 5.449
_cell_length_b 5.449
_cell_length_c 8.692
_cell_angle_alpha 90.08
_cell_angle_beta 90.08
_cell_angle_gamma 45.55
loop_
_atom_site_label
_atom_site_fract_x
_atom_site_fract_y
_atom_site_fract_z
_atom_site_occupancy
Ir1 0.217 0.217 0.257 1
Ir2 0.773 0.773 0.746 1
La1 0.935 0.935 0.249 1
La2 0.065 0.065 0.750 1
Cd1 0.351 0.351 0.953 1
Cd2 0.643 0.643 0.048 1
Cd3 0.357 0.357 0.546 1
Mg1 0.658 0.658 0.451 1
```

Summary:
The space-group type is No. 8. The calculation puts the calculated total energy at -0.3260 Ry/atom.



(3)
Computed, not measured: crystalline La2NdCd3Ir2Pt at its relaxed geometry at the GGA-PBE level of DFT.

```
data_La2NdCd3Ir2Pt
_chemical_formula_sum 'La2 Nd1 Cd3 Ir2 Pt1'
_symmetry_space_group_name_H-M 'P 1'
_symmetry_Int_Tables_number 1
_symmetry_space_group_name_Hall 'P 1'
_cell_length_a 4.110
_cell_length_b 7.662
_cell_length_c 7.662
_cell_angle_alpha 120.54
_cell_angle_beta 90.00
_cell_angle_gamma 90.00
loop_
_atom_site_label
_atom_site_fract_x
_atom_site_fract_y
_atom_site_fract_z
_atom_site_occupancy
Cd1 0.500 0.750 0.997 1
Cd2 0.500 0.997 0.750 1
Cd3 0.500 0.253 0.253 1
Pt1 0.000 0.999 0.999 1
La1 0.000 0.002 0.414 1
La2 0.000 0.414 0.002 1
Nd1 0.000 0.589 0.589 1
Ir1 0.500 0.665 0.330 1
Ir2 0.500 0.330 0.665 1
```

Summary:
The space-group type is No. 38. As for the formation energy: -0.6530 eV/atom.